# CuPIrO2

A relaxed structure of CuPIrO2 (PBE, Alexandria).

Structure (POSCAR):
```
CuPIrO2
1.0
3.704 0.000 0.000
0.000 3.704 0.000
0.000 0.000 5.345
Cu P Ir O
1 1 1 2
direct
0.000 0.000 0.000
0.500 0.500 0.000
0.500 0.500 0.500
0.000 0.500 0.500
0.500 0.000 0.500
```

Results
Space group: P4/mmm
Density in kg/m3: 7215
Volume in Å³/cell: 73.4
Total energy in eV/f.u.: -28.478